(1)
DFT (GGA-PBE) results for a geometry-optimized LiTi2CdO structure.

Structure (CIF):
```
data_LiTi2CdO
_symmetry_space_group_name_H-M 'P 4/m m m'
_symmetry_Int_Tables_number 123
_symmetry_space_group_name_Hall '-P 4 2'
_cell_length_a 4.115
_cell_length_b 4.115
_cell_length_c 4.224
_cell_angle_alpha 90.00
_cell_angle_beta 90.00
_cell_angle_gamma 90.00
loop_
_atom_site_label
_atom_site_fract_x
_atom_site_fract_y
_atom_site_fract_z
Li1 0.000 0.000 0.000
Ti1 0.000 0.500 0.500
Cd1 0.500 0.500 0.000
O1 0.000 0.000 0.500
```

Summary:
ΔE_f (raw), eV/atom: -1.06
Electronic total energy, eV per atom: -5.77

(2)
DFT (GGA-PBE) results for a geometry-optimized Li2Ti3CdO8 structure.

Structure (CIF):
```
data_Li2Ti3CdO8
_symmetry_space_group_name_H-M 'R 3 m'
_symmetry_Int_Tables_number 160
_symmetry_space_group_name_Hall 'R 3 -2"'
_cell_length_a 6.0678
_cell_length_b 6.0678
_cell_length_c 15.1958
_cell_angle_alpha 90.00
_cell_angle_beta 90.00
_cell_angle_gamma 120.00
loop_
_atom_site_label
_atom_site_fract_x
_atom_site_fract_y
_atom_site_fract_z
Li1 0.0000 0.0000 0.0000
Li2 0.0000 0.0000 0.3869
Ti1 0.1697 0.3395 0.8340
Cd1 0.0000 0.0000 0.6228
O1 0.0000 0.0000 0.2397
O2 0.0000 0.0000 0.7655
O3 0.0288 0.5144 0.7679
O4 0.1892 0.3783 0.5709
```

Summary:
ΔE_f (raw), eV/atom: -2.55
Electronic total energy, eV per atom: -7.41

(3)
DFT (GGA-PBE) results for a geometry-optimized LiTiCd2O4 structure.

Structure (CIF):
```
data_LiTiCd2O4
_symmetry_space_group_name_H-M 'I -4 2 m'
_symmetry_Int_Tables_number 121
_symmetry_space_group_name_Hall 'I -4 2'
_cell_length_a 4.753
_cell_length_b 4.753
_cell_length_c 10.450
_cell_angle_alpha 90.00
_cell_angle_beta 90.00
_cell_angle_gamma 90.00
loop_
_atom_site_label
_atom_site_fract_x
_atom_site_fract_y
_atom_site_fract_z
Li1 0.000 0.000 0.000
Ti1 0.000 0.000 0.500
Cd1 0.000 0.500 0.250
O1 0.228 0.228 0.400
```

Summary:
ΔE_f (raw), eV/atom: -1.83
Electronic total energy, eV per atom: -5.76

(4)
DFT (GGA-PBE) results for a geometry-optimized Li2TlCdO4 structure.

Structure (CIF):
```
data_Li2TlCdO4
_symmetry_space_group_name_H-M 'P 1 2/m 1'
_symmetry_Int_Tables_number 10
_symmetry_space_group_name_Hall '-P 2y'
_cell_length_a 5.417
_cell_length_b 3.301
_cell_length_c 5.702
_cell_angle_alpha 90.00
_cell_angle_beta 110.42
_cell_angle_gamma 90.00
loop_
_atom_site_label
_atom_site_fract_x
_atom_site_fract_y
_atom_site_fract_z
Li1 0.000 0.000 0.000
Li2 0.000 0.500 0.500
Tl1 0.500 0.000 0.500
Cd1 0.500 0.500 0.000
O1 0.241 0.500 0.251
O2 0.243 0.000 0.748
```

Summary:
ΔE_f (raw), eV/atom: -1.07
Electronic total energy, eV per atom: -4.44

(5)
DFT (GGA-PBE) results for a geometry-optimized LiTlCd2O4 structure.

Structure (CIF):
```
data_LiTlCd2O4
_symmetry_space_group_name_H-M 'P 1 2/m 1'
_symmetry_Int_Tables_number 10
_symmetry_space_group_name_Hall '-P 2y'
_cell_length_a 5.648
_cell_length_b 3.394
_cell_length_c 5.729
_cell_angle_alpha 90.00
_cell_angle_beta 107.44
_cell_angle_gamma 90.00
loop_
_atom_site_label
_atom_site_fract_x
_atom_site_fract_y
_atom_site_fract_z
Li1 0.000 0.000 0.000
Tl1 0.500 0.500 0.000
Cd1 0.000 0.500 0.500
Cd2 0.500 0.000 0.500
O1 0.235 0.000 0.755
O2 0.263 0.500 0.244
```

Summary:
ΔE_f (raw), eV/atom: -1.05
Electronic total energy, eV per atom: -4.29

(6)
DFT (GGA-PBE) results for a geometry-optimized Li2UCdO6 structure.

Structure (CIF):
```
data_Li2UCdO6
_symmetry_space_group_name_H-M 'C 1 2/c 1'
_symmetry_Int_Tables_number 15
_symmetry_space_group_name_Hall '-C 2yc'
_cell_length_a 12.055
_cell_length_b 8.847
_cell_length_c 5.922
_cell_angle_alpha 90.00
_cell_angle_beta 114.22
_cell_angle_gamma 90.00
loop_
_atom_site_label
_atom_site_fract_x
_atom_site_fract_y
_atom_site_fract_z
Li1 0.220 0.072 0.159
U1 0.000 0.215 0.750
Cd1 0.000 0.404 0.250
O1 0.106 0.241 0.111
O2 0.107 0.391 0.687
O3 0.130 0.073 0.787
```

Summary:
ΔE_f (raw), eV/atom: -1.86
Electronic total energy, eV per atom: -6.44

(7)
DFT (GGA-PBE) results for a geometry-optimized LiUCdO4 structure.

Structure (CIF):
```
data_LiUCdO4
_symmetry_space_group_name_H-M 'I m m a'
_symmetry_Int_Tables_number 74
_symmetry_space_group_name_Hall '-I 2b 2'
_cell_length_a 7.061
_cell_length_b 7.132
_cell_length_c 7.519
_cell_angle_alpha 90.00
_cell_angle_beta 90.00
_cell_angle_gamma 90.00
loop_
_atom_site_label
_atom_site_fract_x
_atom_site_fract_y
_atom_site_fract_z
Li1 0.250 0.250 0.250
U1 0.000 0.000 0.000
Cd1 0.000 0.250 0.578
O1 0.000 0.032 0.270
O2 0.193 0.250 0.992
```

Summary:
ΔE_f (raw), eV/atom: -2.35
Electronic total energy, eV per atom: -7.20

(8)
DFT (GGA-PBE) results for a geometry-optimized Li2UCd2O6 structure.

Structure (CIF):
```
data_Li2UCd2O6
_symmetry_space_group_name_H-M 'C 1 2/m 1'
_symmetry_Int_Tables_number 12
_symmetry_space_group_name_Hall '-C 2y'
_cell_length_a 5.895
_cell_length_b 9.778
_cell_length_c 5.462
_cell_angle_alpha 90.00
_cell_angle_beta 112.17
_cell_angle_gamma 90.00
loop_
_atom_site_label
_atom_site_fract_x
_atom_site_fract_y
_atom_site_fract_z
Li1 0.000 0.192 0.000
U1 0.000 0.000 0.500
Cd1 0.000 0.338 0.500
O1 0.213 0.000 0.273
O2 0.220 0.160 0.746
```

Summary:
ΔE_f (raw), eV/atom: -1.99
Electronic total energy, eV per atom: -6.23

Which of these has the highest ΔE_f (raw)?
LiTlCd2O4

Which formula does entry 3 have?
LiTiCd2O4